# 1
This record from Alexandria describes a relaxed CsAcH2 crystal. The functional is GGA-PBE.

Computed properties:
* excess energy over the best structure of this formula in the dataset: 0.260 eV/atom

abc: 3.581 3.581 8.102
angles: 90.00 90.00 90.00
Fractional positions:
Ac 0.500 0.500 0.000
H 0.000 0.000 0.141
H 0.000 0.000 0.859
Cs 0.500 0.500 0.500

---

# 2
This record from Alexandria describes a relaxed Sr2CdSeBr crystal. The functional is GGA-PBE.

Computed properties:
* uncorrected formation energy: -0.699 eV per atom

abc: 5.821 6.558 5.821
angles: 90.00 90.00 90.00
Fractional positions:
Br 0.000 0.500 0.000
Sr 0.000 0.000 0.500
Sr 0.500 0.000 0.000
Cd 0.500 0.500 0.500
Se 0.000 0.000 0.000

---

# 3
This record from Alexandria describes a relaxed Ba6Pd2RhI3 crystal. The functional is GGA-PBE.

Computed properties:
* uncorrected formation energy: -0.934 eV per atom

abc: 8.059 8.059 9.074
angles: 98.51 98.51 119.98
Fractional positions:
Ba 0.933 0.611 0.799
Ba 0.389 0.067 0.201
Ba 0.745 0.745 0.202
Ba 0.611 0.933 0.799
Ba 0.255 0.255 0.798
Ba 0.067 0.389 0.201
I 0.832 0.168 0.500
I 0.500 0.500 0.500
I 0.168 0.832 0.500
Rh 0.000 0.000 0.000
Pd 0.334 0.666 0.000
Pd 0.666 0.334 0.000

---

| no. | magnetization (μB per formula unit) | Fermi-level density of states (states/eV/f.u.) |
| --- | --- | --- |
| 1 | 0.00 | 3.0 |
| 2 | 0.00 | 3.0 |
| 3 | 0.00 | 7.2 |